No. 1
A relaxed structure of OsRhPb2I. Source: the Alexandria database, functional PBEsol.

## Properties
Formation energy from raw total energies in meV per atom: 944
E_tot in eV per atom: -5.0795

a = 5.3931 Å, b = 5.3931 Å, c = 4.6744 Å
α = 90.00°, β = 90.00°, γ = 90.00°
Closest atoms and distances in Å follow each position.
Space group P4/mmm (No. 123)
Symmetry-distinct sites (fractional):
Os: 0.0000 0.0000 0.0000  2 Rh 2.34
Rh: 0.0000 0.0000 0.5000  2 Os 2.34
Pb: 0.0000 0.5000 0.5000  2 Rh 2.70
I: 0.5000 0.5000 0.0000  8 Pb 3.57, 4 Os 3.81



No. 2
A relaxed structure of TeOsPbI2. Source: the Alexandria database, functional PBEsol.

## Properties
Formation energy from raw total energies in meV per atom: 1671
E_tot in eV per atom: -2.9840

a = 5.9611 Å, b = 5.9611 Å, c = 5.8046 Å
α = 90.00°, β = 90.00°, γ = 90.00°
Closest atoms and distances in Å follow each position.
Space group P4/mmm (No. 123)
Symmetry-distinct sites (fractional):
Te: 0.0000 0.0000 0.0000  2 Pb 2.90
Os: 0.5000 0.5000 0.0000  8 I 4.16, 4 Te 4.22
Pb: 0.0000 0.0000 0.5000  2 Te 2.90, 4 I 2.98
I: 0.0000 0.5000 0.5000  2 Pb 2.98



No. 3
A relaxed structure of OsPd2I. Source: the Alexandria database, functional PBEsol.

## Properties
Formation energy from raw total energies in meV per atom: 960
E_tot in eV per atom: -5.5151

a = 6.4413 Å, b = 6.4413 Å, c = 6.4413 Å
α = 90.00°, β = 90.00°, γ = 90.00°
Closest atoms and distances in Å follow each position.
Space group Fm-3m (No. 225)
Symmetry-distinct sites (fractional):
Os: 0.0000 0.0000 0.0000  8 Pd 2.79
Pd: 0.2500 0.2500 0.2500  4 I 2.79, 4 Os 2.79
I: 0.0000 0.0000 0.5000  8 Pd 2.79



No. 4
A relaxed structure of OsPtI3. Source: the Alexandria database, functional PBEsol.

## Properties
Formation energy from raw total energies in meV per atom: 1511
E_tot in eV per atom: -3.3845

a = 5.3288 Å, b = 5.3288 Å, c = 5.3288 Å
α = 90.00°, β = 90.00°, γ = 90.00°
Closest atoms and distances in Å follow each position.
Space group Pm-3m (No. 221)
Symmetry-distinct sites (fractional):
Os: 0.0000 0.0000 0.0000  12 I 3.77
Pt: 0.5000 0.5000 0.5000  6 I 2.66
I: 0.0000 0.5000 0.5000  2 Pt 2.66



No. 5
A relaxed structure of RbSb2OsI. Source: the Alexandria database, functional PBEsol.

## Properties
Formation energy from raw total energies in meV per atom: 157
E_tot in eV per atom: -4.6680

a = 5.0666 Å, b = 5.0666 Å, c = 6.1157 Å
α = 90.00°, β = 90.00°, γ = 90.00°
Closest atoms and distances in Å follow each position.
Space group P4/mmm (No. 123)
Symmetry-distinct sites (fractional):
Rb: 0.0000 0.0000 0.0000  4 I 3.58, 8 Sb 3.97
Sb: 0.0000 0.5000 0.5000  2 Os 2.53
Os: 0.5000 0.5000 0.5000  4 Sb 2.53
I: 0.5000 0.5000 0.0000  2 Os 3.06



No. 6
A relaxed structure of Rb2SiOsI. Source: the Alexandria database, functional PBEsol.

## Properties
Formation energy from raw total energies in meV per atom: 1320
E_tot in eV per atom: -3.0362

a = 6.7521 Å, b = 6.7521 Å, c = 4.8614 Å
α = 90.00°, β = 90.00°, γ = 90.00°
Closest atoms and distances in Å follow each position.
Space group P4/mmm (No. 123)
Symmetry-distinct sites (fractional):
Rb: 0.0000 0.5000 0.0000  2 I 3.38
Si: 0.0000 0.0000 0.5000  8 Rb 4.16
Os: 0.5000 0.5000 0.5000  2 I 2.43
I: 0.5000 0.5000 0.0000  2 Os 2.43



No. 7
A relaxed structure of ReSb2OsI. Source: the Alexandria database, functional PBEsol.

## Properties
Formation energy from raw total energies in meV per atom: 1893
E_tot in eV per atom: -5.3932

a = 5.0361 Å, b = 5.0361 Å, c = 5.2699 Å
α = 90.00°, β = 90.00°, γ = 90.00°
Closest atoms and distances in Å follow each position.
Space group P4/mmm (No. 123)
Symmetry-distinct sites (fractional):
Re: 0.0000 0.0000 0.0000  4 Sb 2.52, 2 I 2.63
Sb: 0.0000 0.5000 0.0000  2 Re 2.52
Os: 0.5000 0.5000 0.5000  4 I 3.56, 8 Sb 3.64
I: 0.0000 0.0000 0.5000  2 Re 2.63



No. 8
A relaxed structure of Sn2OsRhI. Source: the Alexandria database, functional PBEsol.

## Properties
Formation energy from raw total energies in meV per atom: 1299
E_tot in eV per atom: -4.8287

a = 4.9695 Å, b = 4.9695 Å, c = 5.1954 Å
α = 90.00°, β = 90.00°, γ = 90.00°
Closest atoms and distances in Å follow each position.
Space group P4/mmm (No. 123)
Symmetry-distinct sites (fractional):
Sn: 0.0000 0.5000 0.0000  2 Rh 2.48
Os: 0.0000 0.0000 0.5000  4 I 3.51, 8 Sn 3.59
Rh: 0.5000 0.5000 0.0000  4 Sn 2.48, 2 I 2.60
I: 0.5000 0.5000 0.5000  2 Rh 2.60



No. 9
A relaxed structure of SbOsRuI2. Source: the Alexandria database, functional PBEsol.

## Properties
Formation energy from raw total energies in meV per atom: 1609
E_tot in eV per atom: -4.4864

a = 5.3548 Å, b = 5.3548 Å, c = 4.9408 Å
α = 90.00°, β = 90.00°, γ = 90.00°
Closest atoms and distances in Å follow each position.
Space group P4/mmm (No. 123)
Symmetry-distinct sites (fractional):
Sb: 0.0000 0.0000 0.0000  2 Os 2.47
Os: 0.0000 0.0000 0.5000  2 Sb 2.47, 4 I 2.68
Ru: 0.5000 0.5000 0.0000  8 I 3.64, 4 Sb 3.79
I: 0.0000 0.5000 0.5000  2 Os 2.68



No. 10
A relaxed structure of TeOsSI2. Source: the Alexandria database, functional PBEsol.

## Properties
Formation energy from raw total energies in meV per atom: 923
E_tot in eV per atom: -3.8090

a = 5.3060 Å, b = 5.3060 Å, c = 5.0080 Å
α = 90.00°, β = 90.00°, γ = 90.00°
Closest atoms and distances in Å follow each position.
Space group P4/mmm (No. 123)
Symmetry-distinct sites (fractional):
Te: 0.0000 0.0000 0.0000  2 Os 2.50
Os: 0.0000 0.0000 0.5000  2 Te 2.50, 4 I 2.65
S: 0.5000 0.5000 0.0000  8 I 3.65, 4 Te 3.75
I: 0.0000 0.5000 0.5000  2 Os 2.65



No. 11
A relaxed structure of SiSbOsI2. Source: the Alexandria database, functional PBEsol.

## Properties
Formation energy from raw total energies in meV per atom: 1658
E_tot in eV per atom: -3.5530

a = 5.1627 Å, b = 5.1627 Å, c = 5.3087 Å
α = 90.00°, β = 90.00°, γ = 90.00°
Closest atoms and distances in Å follow each position.
Space group P4/mmm (No. 123)
Symmetry-distinct sites (fractional):
Si: 0.0000 0.0000 0.0000  4 I 2.58, 2 Sb 2.65
Sb: 0.0000 0.0000 0.5000  2 Si 2.65
Os: 0.5000 0.5000 0.5000  4 Sb 3.65, 8 I 3.70
I: 0.0000 0.5000 0.0000  2 Si 2.58



No. 12
A relaxed structure of TaSbOsI2. Source: the Alexandria database, functional PBEsol.

## Properties
Formation energy from raw total energies in meV per atom: 1567
Energy above the most stable polymorph in this dataset in eV per atom: 0.000
E_tot in eV per atom: -5.0048

a = 5.2364 Å, b = 5.2364 Å, c = 5.0129 Å
α = 90.00°, β = 90.00°, γ = 90.00°
Closest atoms and distances in Å follow each position.
Space group P4/mmm (No. 123)
Symmetry-distinct sites (fractional):
Ta: 0.0000 0.0000 0.0000  8 I 3.62, 4 Sb 3.70
Sb: 0.5000 0.5000 0.0000  2 Os 2.51
Os: 0.5000 0.5000 0.5000  2 Sb 2.51, 4 I 2.62
I: 0.0000 0.5000 0.5000  2 Os 2.62